[1]
PrPbF4 | PBE | relaxed

Results
- E_form (uncorrected): -3.001 eV/atom
- E: -5.663 eV/atom

Lattice parameters (Å, degrees): 7.017 7.017 7.017 112.51 112.51 103.55
Sites, in units of the cell vectors:
1 Pr 0.000 0.000 0.000
2 Pr 0.750 0.250 0.500
3 Pb 0.248 0.748 0.500
4 Pb 0.498 0.498 0.000
5 F 0.140 0.454 0.687
6 F 0.204 0.017 0.813
7 F 0.204 0.390 0.187
8 F 0.347 0.052 0.295
9 F 0.756 0.052 0.705
10 F 0.767 0.454 0.313
11 F 0.802 0.006 0.205
12 F 0.802 0.597 0.795

[2]
EuGd2Th | PBE | relaxed

Results
- E_form: 135.8 meV/atom
- E: -11.328 eV/atom
- Density of states at the Fermi level: 1.6075 states/eV/atom

Lattice parameters (Å, degrees): 5.140 5.140 5.059 90.00 90.00 90.00
Sites, in units of the cell vectors:
1 Eu 0.000 0.000 0.000
2 Gd 0.000 0.500 0.500
3 Gd 0.500 0.000 0.500
4 Th 0.500 0.500 0.000

[3]
YPuAgGe | PBE | relaxed

Results
- E_form: -354.7 meV/atom
- E: -7.421 eV/atom
- Density of states at the Fermi level: 2.0395 states/eV/atom

Lattice parameters (Å, degrees): 7.236 7.236 7.236 90.00 90.00 90.00
Sites, in units of the cell vectors:
1 Y 0.000 0.000 0.000
2 Y 0.000 0.500 0.500
3 Y 0.500 0.000 0.500
4 Y 0.500 0.500 0.000
5 Pu 0.000 0.000 0.500
6 Pu 0.000 0.500 0.000
7 Pu 0.500 0.000 0.000
8 Pu 0.500 0.500 0.500
9 Ag 0.250 0.250 0.250
10 Ag 0.250 0.750 0.750
11 Ag 0.750 0.250 0.750
12 Ag 0.750 0.750 0.250
13 Ge 0.250 0.250 0.750
14 Ge 0.250 0.750 0.250
15 Ge 0.750 0.250 0.250
16 Ge 0.750 0.750 0.750

[4]
DyTm2ScTl2 | PBE | relaxed

Results
- E_form: -254.0 meV/atom
- E: -4.356 eV/atom
- Density of states at the Fermi level: 1.0567 states/eV/atom

Lattice parameters (Å, degrees): 4.928 9.681 6.820 90.00 90.00 90.00
Sites, in units of the cell vectors:
1 Dy 0.000 0.047 0.000
2 Dy 0.000 0.953 0.500
3 Tm 0.000 0.311 0.390
4 Tm 0.000 0.689 0.890
5 Tm 0.500 0.453 0.101
6 Tm 0.500 0.547 0.601
7 Sc 0.500 0.197 0.713
8 Sc 0.500 0.803 0.213
9 Tl 0.000 0.365 0.841
10 Tl 0.000 0.635 0.341
11 Tl 0.500 0.122 0.270
12 Tl 0.500 0.878 0.770

[5]
FeCuRuRh | PBE | relaxed

Results
- E_form: 142.4 meV/atom
- E: -7.154 eV/atom
- Density of states at the Fermi level: 0.8925 states/eV/atom

Lattice parameters (Å, degrees): 5.937 5.937 5.937 90.00 90.00 90.00
Sites, in units of the cell vectors:
1 Fe 0.000 0.000 0.000
2 Fe 0.000 0.500 0.500
3 Fe 0.500 0.000 0.500
4 Fe 0.500 0.500 0.000
5 Cu 0.000 0.000 0.500
6 Cu 0.000 0.500 0.000
7 Cu 0.500 0.000 0.000
8 Cu 0.500 0.500 0.500
9 Ru 0.250 0.250 0.750
10 Ru 0.250 0.750 0.250
11 Ru 0.750 0.250 0.250
12 Ru 0.750 0.750 0.750
13 Rh 0.250 0.250 0.250
14 Rh 0.250 0.750 0.750
15 Rh 0.750 0.250 0.750
16 Rh 0.750 0.750 0.250

[6]
AcLa2Pu | PBE | relaxed

Results
- E_form: 253.1 meV/atom
- E: -6.821 eV/atom
- Density of states at the Fermi level: 4.5951 states/eV/atom

Lattice parameters (Å, degrees): 8.388 8.388 8.388 90.00 90.00 90.00
Sites, in units of the cell vectors:
1 Ac 0.000 0.000 0.000
2 Ac 0.000 0.500 0.500
3 Ac 0.500 0.000 0.500
4 Ac 0.500 0.500 0.000
5 La 0.250 0.250 0.250
6 La 0.250 0.250 0.750
7 La 0.250 0.750 0.250
8 La 0.250 0.750 0.750
9 La 0.750 0.250 0.250
10 La 0.750 0.250 0.750
11 La 0.750 0.750 0.250
12 La 0.750 0.750 0.750
13 Pu 0.000 0.000 0.500
14 Pu 0.000 0.500 0.000
15 Pu 0.500 0.000 0.000
16 Pu 0.500 0.500 0.500

> E of number 1 (PrPbF4)?

-5.663 eV/atom